[1]
The following is a DFT calculation (PBE) of crystalline TiCoTe2N at its relaxed geometry.

DOS(E_F) ... 1.142 states/eV/atom
ΔE_f (raw) ... 0.43 eV/atom

Structure (CIF):
```
data_TiCoTe2N
_cell_length_a 5.499
_cell_length_b 5.499
_cell_length_c 3.679
_cell_angle_alpha 90.00
_cell_angle_beta 90.00
_cell_angle_gamma 90.00
_symmetry_space_group_name_H-M 'P 4/m m m'
_symmetry_Int_Tables_number 123
_symmetry_space_group_name_Hall '-P 4 2'
loop_
_atom_site_label
_atom_site_type_symbol
_atom_site_fract_x
_atom_site_fract_y
_atom_site_fract_z
Ti1 Ti 0.000 0.000 0.000
Co1 Co 0.500 0.500 0.500
Te1 Te 0.000 0.500 0.000
N1 N 0.000 0.000 0.500
```

***

[2]
The following is a DFT calculation (PBE) of crystalline TiCoTe2N at its relaxed geometry.

DOS(E_F) ... 1.158 states/eV/atom
ΔE_f (raw) ... 0.20 eV/atom

Structure (CIF):
```
data_TiCoTe2N
_cell_length_a 5.259
_cell_length_b 5.259
_cell_length_c 3.414
_cell_angle_alpha 90.00
_cell_angle_beta 90.00
_cell_angle_gamma 90.00
_symmetry_space_group_name_H-M 'P 4/m m m'
_symmetry_Int_Tables_number 123
_symmetry_space_group_name_Hall '-P 4 2'
loop_
_atom_site_label
_atom_site_type_symbol
_atom_site_fract_x
_atom_site_fract_y
_atom_site_fract_z
Ti1 Ti 0.000 0.000 0.000
Co1 Co 0.500 0.500 0.500
Te1 Te 0.000 0.500 0.500
N1 N 0.500 0.500 0.000
```

***

[3]
The following is a DFT calculation (PBE) of crystalline VCoTe2N at its relaxed geometry.

DOS(E_F) ... 1.088 states/eV/atom
ΔE_f (raw) ... 0.48 eV/atom

Structure (CIF):
```
data_VCoTe2N
_cell_length_a 5.332
_cell_length_b 5.332
_cell_length_c 3.587
_cell_angle_alpha 90.00
_cell_angle_beta 90.00
_cell_angle_gamma 90.00
_symmetry_space_group_name_H-M 'P 4/m m m'
_symmetry_Int_Tables_number 123
_symmetry_space_group_name_Hall '-P 4 2'
loop_
_atom_site_label
_atom_site_type_symbol
_atom_site_fract_x
_atom_site_fract_y
_atom_site_fract_z
V1 V 0.000 0.000 0.000
Co1 Co 0.500 0.500 0.500
Te1 Te 0.000 0.500 0.000
N1 N 0.000 0.000 0.500
```

***

[4]
The following is a DFT calculation (PBE) of crystalline VCoTe2N at its relaxed geometry.

DOS(E_F) ... 0.959 states/eV/atom
ΔE_f (raw) ... 0.37 eV/atom

Structure (CIF):
```
data_VCoTe2N
_cell_length_a 5.253
_cell_length_b 5.253
_cell_length_c 3.394
_cell_angle_alpha 90.00
_cell_angle_beta 90.00
_cell_angle_gamma 90.00
_symmetry_space_group_name_H-M 'P 4/m m m'
_symmetry_Int_Tables_number 123
_symmetry_space_group_name_Hall '-P 4 2'
loop_
_atom_site_label
_atom_site_type_symbol
_atom_site_fract_x
_atom_site_fract_y
_atom_site_fract_z
V1 V 0.000 0.000 0.000
Co1 Co 0.500 0.500 0.500
Te1 Te 0.000 0.500 0.500
N1 N 0.500 0.500 0.000
```

***

[5]
The following is a DFT calculation (PBE) of crystalline CoTeWN2 at its relaxed geometry.

DOS(E_F) ... 1.446 states/eV/atom
ΔE_f (raw) ... 0.66 eV/atom

Structure (CIF):
```
data_CoTeWN2
_cell_length_a 3.879
_cell_length_b 3.879
_cell_length_c 5.785
_cell_angle_alpha 90.00
_cell_angle_beta 90.00
_cell_angle_gamma 90.00
_symmetry_space_group_name_H-M 'P 4/m m m'
_symmetry_Int_Tables_number 123
_symmetry_space_group_name_Hall '-P 4 2'
loop_
_atom_site_label
_atom_site_type_symbol
_atom_site_fract_x
_atom_site_fract_y
_atom_site_fract_z
Co1 Co 0.000 0.000 0.000
Te1 Te 0.500 0.500 0.000
W1 W 0.500 0.500 0.500
N1 N 0.000 0.500 0.500
```

***

[6]
The following is a DFT calculation (PBE) of crystalline CoTeWN2 at its relaxed geometry.

DOS(E_F) ... 0.682 states/eV/atom
ΔE_f (raw) ... 1.69 eV/atom

Structure (CIF):
```
data_CoTeWN2
_cell_length_a 3.839
_cell_length_b 3.839
_cell_length_c 5.052
_cell_angle_alpha 90.00
_cell_angle_beta 90.00
_cell_angle_gamma 90.00
_symmetry_space_group_name_H-M 'P 4/m m m'
_symmetry_Int_Tables_number 123
_symmetry_space_group_name_Hall '-P 4 2'
loop_
_atom_site_label
_atom_site_type_symbol
_atom_site_fract_x
_atom_site_fract_y
_atom_site_fract_z
Co1 Co 0.000 0.000 0.000
Te1 Te 0.000 0.000 0.500
W1 W 0.500 0.500 0.500
N1 N 0.000 0.500 0.000
```

***

[7]
The following is a DFT calculation (PBE) of crystalline YCoTe2N at its relaxed geometry.

DOS(E_F) ... 0.573 states/eV/atom
ΔE_f (raw) ... -0.24 eV/atom

Structure (CIF):
```
data_YCoTe2N
_cell_length_a 5.380
_cell_length_b 5.380
_cell_length_c 3.546
_cell_angle_alpha 90.00
_cell_angle_beta 90.00
_cell_angle_gamma 90.00
_symmetry_space_group_name_H-M 'P 4/m m m'
_symmetry_Int_Tables_number 123
_symmetry_space_group_name_Hall '-P 4 2'
loop_
_atom_site_label
_atom_site_type_symbol
_atom_site_fract_x
_atom_site_fract_y
_atom_site_fract_z
Y1 Y 0.000 0.000 0.000
Co1 Co 0.500 0.500 0.500
Te1 Te 0.000 0.500 0.500
N1 N 0.500 0.500 0.000
```

***

[8]
The following is a DFT calculation (PBE) of crystalline YCoTe2N at its relaxed geometry.

DOS(E_F) ... 1.120 states/eV/atom
ΔE_f (raw) ... 0.80 eV/atom

Structure (CIF):
```
data_YCoTe2N
_cell_length_a 5.992
_cell_length_b 5.992
_cell_length_c 4.057
_cell_angle_alpha 90.00
_cell_angle_beta 90.00
_cell_angle_gamma 90.00
_symmetry_space_group_name_H-M 'P 4/m m m'
_symmetry_Int_Tables_number 123
_symmetry_space_group_name_Hall '-P 4 2'
loop_
_atom_site_label
_atom_site_type_symbol
_atom_site_fract_x
_atom_site_fract_y
_atom_site_fract_z
Y1 Y 0.000 0.000 0.000
Co1 Co 0.500 0.500 0.500
Te1 Te 0.000 0.500 0.000
N1 N 0.000 0.000 0.500
```

***

[9]
The following is a DFT calculation (PBE) of crystalline ZnCoTe2N at its relaxed geometry.

DOS(E_F) ... 1.276 states/eV/atom
ΔE_f (raw) ... 1.16 eV/atom

Structure (CIF):
```
data_ZnCoTe2N
_cell_length_a 5.489
_cell_length_b 5.489
_cell_length_c 3.543
_cell_angle_alpha 90.00
_cell_angle_beta 90.00
_cell_angle_gamma 90.00
_symmetry_space_group_name_H-M 'P 4/m m m'
_symmetry_Int_Tables_number 123
_symmetry_space_group_name_Hall '-P 4 2'
loop_
_atom_site_label
_atom_site_type_symbol
_atom_site_fract_x
_atom_site_fract_y
_atom_site_fract_z
Zn1 Zn 0.000 0.000 0.000
Co1 Co 0.500 0.500 0.500
Te1 Te 0.000 0.500 0.000
N1 N 0.000 0.000 0.500
```

***

[10]
The following is a DFT calculation (PBE) of crystalline ZnCoTe2N at its relaxed geometry.

DOS(E_F) ... 0.677 states/eV/atom
ΔE_f (raw) ... 0.29 eV/atom

Structure (CIF):
```
data_ZnCoTe2N
_cell_length_a 5.362
_cell_length_b 5.362
_cell_length_c 3.383
_cell_angle_alpha 90.00
_cell_angle_beta 90.00
_cell_angle_gamma 90.00
_symmetry_space_group_name_H-M 'P 4/m m m'
_symmetry_Int_Tables_number 123
_symmetry_space_group_name_Hall '-P 4 2'
loop_
_atom_site_label
_atom_site_type_symbol
_atom_site_fract_x
_atom_site_fract_y
_atom_site_fract_z
Zn1 Zn 0.000 0.000 0.000
Co1 Co 0.500 0.500 0.500
Te1 Te 0.000 0.500 0.500
N1 N 0.500 0.500 0.000
```

***

[11]
The following is a DFT calculation (PBE) of crystalline ZrCoTe2N at its relaxed geometry.

DOS(E_F) ... 1.076 states/eV/atom
ΔE_f (raw) ... 0.58 eV/atom

Structure (CIF):
```
data_ZrCoTe2N
_cell_length_a 5.759
_cell_length_b 5.759
_cell_length_c 3.978
_cell_angle_alpha 90.00
_cell_angle_beta 90.00
_cell_angle_gamma 90.00
_symmetry_space_group_name_H-M 'P 4/m m m'
_symmetry_Int_Tables_number 123
_symmetry_space_group_name_Hall '-P 4 2'
loop_
_atom_site_label
_atom_site_type_symbol
_atom_site_fract_x
_atom_site_fract_y
_atom_site_fract_z
Zr1 Zr 0.000 0.000 0.000
Co1 Co 0.500 0.500 0.500
Te1 Te 0.000 0.500 0.000
N1 N 0.000 0.000 0.500
```

***

[12]
The following is a DFT calculation (PBE) of crystalline ZrCoTe2N at its relaxed geometry.

DOS(E_F) ... 1.106 states/eV/atom
ΔE_f (raw) ... 0.09 eV/atom

Structure (CIF):
```
data_ZrCoTe2N
_cell_length_a 5.287
_cell_length_b 5.287
_cell_length_c 3.464
_cell_angle_alpha 90.00
_cell_angle_beta 90.00
_cell_angle_gamma 90.00
_symmetry_space_group_name_H-M 'P 4/m m m'
_symmetry_Int_Tables_number 123
_symmetry_space_group_name_Hall '-P 4 2'
loop_
_atom_site_label
_atom_site_type_symbol
_atom_site_fract_x
_atom_site_fract_y
_atom_site_fract_z
Zr1 Zr 0.000 0.000 0.000
Co1 Co 0.500 0.500 0.500
Te1 Te 0.000 0.500 0.500
N1 N 0.500 0.500 0.000
```

***

Question: Which value of DOS(E_F) does entry 2 give?
Answer: 1.158 states/eV/atom

***

Repeat the twelfth record exactly.
The following is a DFT calculation (PBE) of crystalline ZrCoTe2N at its relaxed geometry.

DOS(E_F) ... 1.106 states/eV/atom
ΔE_f (raw) ... 0.09 eV/atom

Structure (CIF):
```
data_ZrCoTe2N
_cell_length_a 5.287
_cell_length_b 5.287
_cell_length_c 3.464
_cell_angle_alpha 90.00
_cell_angle_beta 90.00
_cell_angle_gamma 90.00
_symmetry_space_group_name_H-M 'P 4/m m m'
_symmetry_Int_Tables_number 123
_symmetry_space_group_name_Hall '-P 4 2'
loop_
_atom_site_label
_atom_site_type_symbol
_atom_site_fract_x
_atom_site_fract_y
_atom_site_fract_z
Zr1 Zr 0.000 0.000 0.000
Co1 Co 0.500 0.500 0.500
Te1 Te 0.000 0.500 0.500
N1 N 0.500 0.500 0.000
```

***

Repeat the twelfth record exactly.
The following is a DFT calculation (PBE) of crystalline ZrCoTe2N at its relaxed geometry.

DOS(E_F) ... 1.106 states/eV/atom
ΔE_f (raw) ... 0.09 eV/atom

Structure (CIF):
```
data_ZrCoTe2N
_cell_length_a 5.287
_cell_length_b 5.287
_cell_length_c 3.464
_cell_angle_alpha 90.00
_cell_angle_beta 90.00
_cell_angle_gamma 90.00
_symmetry_space_group_name_H-M 'P 4/m m m'
_symmetry_Int_Tables_number 123
_symmetry_space_group_name_Hall '-P 4 2'
loop_
_atom_site_label
_atom_site_type_symbol
_atom_site_fract_x
_atom_site_fract_y
_atom_site_fract_z
Zr1 Zr 0.000 0.000 0.000
Co1 Co 0.500 0.500 0.500
Te1 Te 0.000 0.500 0.500
N1 N 0.500 0.500 0.000
```